A PBEsol-optimized structure of SmY3. Source: Alexandria via LeMat-Bulk, functional meta-GGA SCAN.

Properties
Formation energy ... 0.012 eV/atom
Density of states at the Fermi level ... 1.6543 states/eV/atom
Symmetry ... P6_3/mmc, No. 194

Unit cell a=7.160 b=7.160 c=5.618 alpha=90.00 beta=90.00 gamma=120.00
Fractional coordinates of all 8 atoms:
Sm1 0.333 0.667 0.250
Sm2 0.667 0.333 0.750
Y1 0.167 0.333 0.750
Y2 0.167 0.833 0.750
Y3 0.333 0.167 0.250
Y4 0.667 0.833 0.750
Y5 0.833 0.167 0.250
Y6 0.833 0.667 0.250